Below is a geometry-optimized V2HF2 structure, with properties calculated at the PBE+U level.

## Properties
Its total energy is -4.59 eV/atom.

Cell lengths 3.5890, 3.5890, 5.1046 Å; angles 69.42, 69.42, 90.00 degrees
Closest atoms and distances in Å follow each position.
Fractional positions:
1 H 0.0000 0.0000 0.0000  8 V 2.71, 8 F 2.85
2 V 0.6065 0.6065 0.7871  1 V 1.89
3 F 0.7500 0.2500 0.5000  4 V 2.20
4 F 0.2500 0.7500 0.5000  4 V 2.20
5 V 0.3935 0.3935 0.2129  1 V 1.89